1.
DFT (SCAN) results for a PBEsol-optimized structure of PHW2.

abc: 5.8686 5.8686 5.8686
angles: 132.59 132.59 69.31
Fractional coordinates of all 8 atoms:
1 P 0.0000 0.0000 0.0000
2 P 0.7500 0.2500 0.5000
3 H 0.2500 0.7500 0.5000
4 H 0.5000 0.5000 0.0000
5 W 0.2231 0.6250 0.0981
6 W 0.3750 0.4731 0.5981
7 W 0.5269 0.1250 0.9019
8 W 0.8750 0.7769 0.4019

Output
Space group: I-42d, No. 122



2.
DFT (SCAN) results for a PBEsol-optimized structure of Y2PH.

abc: 5.7423 5.7423 5.7423
angles: 110.00 110.00 108.42
Fractional coordinates of all 8 atoms:
1 Y 0.0653 0.6250 0.9403
2 Y 0.3750 0.3153 0.4403
3 Y 0.6847 0.1250 0.0597
4 Y 0.8750 0.9347 0.5597
5 P 0.2500 0.7500 0.5000
6 P 0.5000 0.5000 0.0000
7 H 0.0000 0.0000 0.0000
8 H 0.7500 0.2500 0.5000

Output
Space group: I-42d, No. 122



3.
DFT (SCAN) results for a PBEsol-optimized structure of Y2PH.

abc: 4.6314 4.6314 4.6314
angles: 60.00 60.00 60.00
Fractional coordinates of all 4 atoms:
1 Y 0.2500 0.2500 0.2500
2 Y 0.7500 0.7500 0.7500
3 P 0.0000 0.0000 0.0000
4 H 0.5000 0.5000 0.5000

Output
Space group: Fm-3m, No. 225



4.
DFT (SCAN) results for a PBEsol-optimized structure of ZnPH3.

abc: 3.4892 3.4892 3.4892
angles: 90.00 90.00 90.00
Fractional coordinates of all 5 atoms:
1 Zn 0.0000 0.0000 0.0000
2 P 0.5000 0.5000 0.5000
3 H 0.0000 0.0000 0.5000
4 H 0.0000 0.5000 0.0000
5 H 0.5000 0.0000 0.0000

Output
Space group: Pm-3m, No. 221



5.
DFT (SCAN) results for a PBEsol-optimized structure of Zr3PH.

abc: 4.2352 4.2352 4.2352
angles: 90.00 90.00 90.00
Fractional coordinates of all 5 atoms:
1 Zr 0.0000 0.0000 0.5000
2 Zr 0.0000 0.5000 0.0000
3 Zr 0.5000 0.0000 0.0000
4 P 0.5000 0.5000 0.5000
5 H 0.0000 0.0000 0.0000

Output
Space group: Pm-3m, No. 221



6.
DFT (SCAN) results for a PBEsol-optimized structure of ZrP3H.

abc: 4.0071 4.0071 4.0071
angles: 90.00 90.00 90.00
Fractional coordinates of all 5 atoms:
1 Zr 0.0000 0.0000 0.0000
2 P 0.0000 0.5000 0.5000
3 P 0.5000 0.0000 0.5000
4 P 0.5000 0.5000 0.0000
5 H 0.5000 0.5000 0.5000

Output
Space group: Pm-3m, No. 221



7.
DFT (SCAN) results for a PBEsol-optimized structure of H2Pb.

abc: 9.9622 3.3099 3.3099
angles: 97.61 90.00 90.00
Fractional coordinates of all 6 atoms:
1 H 0.0461 0.2500 0.7500
2 H 0.1227 0.2448 0.7448
3 H 0.8773 0.7448 0.2448
4 H 0.9539 0.7500 0.2500
5 Pb 0.3780 0.7552 0.2552
6 Pb 0.6220 0.2552 0.7552

Output
Space group: Aem2, No. 39



8.
DFT (SCAN) results for a PBEsol-optimized structure of H2PdPb2.

abc: 6.9257 6.9257 6.9257
angles: 151.10 151.10 41.33
Fractional coordinates of all 5 atoms:
1 H 0.2500 0.7500 0.5000
2 H 0.7500 0.2500 0.5000
3 Pd 0.0000 0.0000 0.0000
4 Pb 0.3684 0.3684 0.0000
5 Pb 0.6316 0.6316 0.0000

Output
Space group: I4/mmm, No. 139



| no. | total energy (eV per atom) | density (g/cm3) |
| --- | --- | --- |
| 1 | -37.679 | 12.3 |
| 2 | -18.373 | 4.8 |
| 3 | -18.156 | 5.0 |
| 4 | -5.864 | 3.9 |
| 5 | -21.716 | 6.7 |
| 6 | -12.864 | 4.8 |
| 7 | -27.502 | 6.4 |
| 8 | -37.922 | 11.2 |